# 1
This record from Alexandria via LeMat-Bulk describes a crystal of InRu2Pt relaxed with PBEsol. The functional is meta-GGA SCAN.

Summary:
VASP energy = -43.161 eV/atom
energy of formation from the pure elements = 0.147 eV/atom

Cell: 3.9172 3.9172 3.9516 Å, 90.00 90.00 90.00°
With the nearest neighbours (Å) after each atom.
Element x y z (fractional)
Pt (0.0000, 0.0000, 0.5000)  4 In 2.77, 8 Ru 2.78
Ru (0.0000, 0.5000, 0.0000)  4 Ru 2.77, 4 In 2.78, 4 Pt 2.78
In (0.5000, 0.5000, 0.5000)  4 Pt 2.77, 8 Ru 2.78
Ru (0.5000, 0.0000, 0.0000)  4 Ru 2.77, 4 In 2.78, 4 Pt 2.78

# 2
This record from Alexandria via LeMat-Bulk describes a crystal of InRu2Pt relaxed with PBEsol. The functional is meta-GGA SCAN.

Summary:
VASP energy = -43.093 eV/atom
energy of formation from the pure elements = 0.215 eV/atom

Cell: 3.1891 3.1891 6.0330 Å, 90.00 90.00 90.00°
With the nearest neighbours (Å) after each atom.
Element x y z (fractional)
Ru (0.0000, 0.0000, 0.2691)  4 Pt 2.65, 4 In 2.78, 1 Ru 2.79
In (0.5000, 0.5000, 0.0000)  8 Ru 2.78, 2 Pt 3.02
Ru (0.0000, 0.0000, 0.7309)  4 Pt 2.65, 4 In 2.78, 1 Ru 2.79
Pt (0.5000, 0.5000, 0.5000)  8 Ru 2.65

# 3
This record from Alexandria via LeMat-Bulk describes a crystal of InRu2Pt relaxed with PBEsol. The functional is meta-GGA SCAN.

Summary:
VASP energy = -43.155 eV/atom
energy of formation from the pure elements = 0.153 eV/atom

Cell: 2.8117 2.8117 9.0411 Å, 81.05 81.05 60.00°
With the nearest neighbours (Å) after each atom.
Element x y z (fractional)
In (0.4986, 0.4986, 0.5042)  6 In 2.81, 3 Ru 2.83, 3 Pt 2.85
Pt (0.2529, 0.2529, 0.2414)  3 Ru 2.77, 6 Pt 2.81, 3 In 2.85
Ru (0.7451, 0.7451, 0.7647)  9 Ru 2.58-2.81, 3 In 2.83
Ru (0.0034, 0.0034, 0.9897)  9 Ru 2.58-2.81, 3 Pt 2.77